[1]
The following is a PBE-GGA calculation of a geometry-optimized Tb12Pm7Th structure, from Alexandria.

Calculated values
The calculation puts the formation energy at 5.4 kcal/mol of atoms. As for the space group: R-3 (148). The calculation puts the energy relative to the lowest polymorph listed for this composition at 0.000 eV/atom.

a b c (Å): 8.7728 8.7728 8.7728
angles (deg): 89.43 89.43 89.43
Sites, in units of the cell vectors:
Tb1 0.8686 0.2842 0.7432
Tb2 0.7158 0.2568 0.1314
Tb3 0.6167 0.1488 0.5032
Tb4 0.8512 0.4968 0.3833
Tb5 0.2568 0.1314 0.7158
Tb6 0.4968 0.3833 0.8512
Tb7 0.5032 0.6167 0.1488
Tb8 0.7432 0.8686 0.2842
Tb9 0.1488 0.5032 0.6167
Tb10 0.3833 0.8512 0.4968
Tb11 0.2842 0.7432 0.8686
Tb12 0.1314 0.7158 0.2568
Pm1 0.8393 0.6197 0.9512
Pm2 0.3803 0.0488 0.1607
Pm3 0.0488 0.1607 0.3803
Pm4 0.5000 0.5000 0.5000
Pm5 0.9512 0.8393 0.6197
Pm6 0.6197 0.9512 0.8393
Pm7 0.1607 0.3803 0.0488
Th1 0.0000 0.0000 0.0000


[2]
The following is a PBE-GGA calculation of a geometry-optimized Tb4Pm5Th4 structure, from Alexandria.

Calculated values
The calculation puts the formation energy at 0.8 kcal/mol of atoms. As for the space group: I4/m (87).

a b c (Å): 5.0792 9.5382 9.5382
angles (deg): 85.93 74.56 74.56
Sites, in units of the cell vectors:
Tb1 0.7653 0.3881 0.0812
Tb2 0.2347 0.6119 0.9188
Tb3 0.8465 0.9188 0.3881
Tb4 0.1535 0.0812 0.6119
Pm1 0.6971 0.8409 0.7649
Pm2 0.3029 0.1591 0.2351
Pm3 0.0000 0.0000 0.0000
Pm4 0.5380 0.7649 0.1591
Pm5 0.4620 0.2351 0.8409
Th1 0.9265 0.4600 0.6870
Th2 0.6135 0.3130 0.4600
Th3 0.0735 0.5400 0.3130
Th4 0.3865 0.6870 0.5400


[3]
The following is a PBE-GGA calculation of a geometry-optimized TbPmTh2 structure, from Alexandria.

Calculated values
The calculation puts the formation energy at 1.5 kcal/mol of atoms. As for the space group: P4/mmm (123). The calculation puts the energy relative to the lowest polymorph listed for this composition at 0.037 eV/atom.

a b c (Å): 5.1637 5.0238 5.0238
angles (deg): 90.00 90.00 90.00
Sites, in units of the cell vectors:
Tb1 0.5000 0.5000 0.5000
Th1 0.0000 0.0000 0.5000
Th2 0.0000 0.5000 0.0000
Pm1 0.5000 0.0000 0.0000


[4]
The following is a PBE-GGA calculation of a geometry-optimized Tb5Pm2Th3 structure, from Alexandria.

Calculated values
The calculation puts the formation energy at 1.0 kcal/mol of atoms. As for the space group: C2/m (12).

a b c (Å): 5.0569 6.2133 12.9390
angles (deg): 61.27 78.73 65.99
Sites, in units of the cell vectors:
Tb1 0.0000 0.0000 0.0000
Tb2 0.2002 0.0017 0.5980
Tb3 0.7998 0.9983 0.4020
Tb4 0.6995 0.4982 0.1027
Tb5 0.3005 0.5018 0.8973
Pm1 0.4027 0.9920 0.2027
Pm2 0.5973 0.0080 0.7973
Th1 0.5000 0.5000 0.5000
Th2 0.0988 0.5007 0.3017
Th3 0.9012 0.4993 0.6983


[5]
The following is a PBE-GGA calculation of a geometry-optimized TbPm2Th structure, from Alexandria.

Calculated values
The calculation puts the formation energy at 3.8 kcal/mol of atoms. As for the space group: R-3m (166). The calculation puts the energy relative to the lowest polymorph listed for this composition at 0.159 eV/atom.

a b c (Å): 3.5524 3.5524 12.6232
angles (deg): 81.91 81.91 60.00
Sites, in units of the cell vectors:
Tb1 0.0000 0.0000 0.0000
Th1 0.5000 0.5000 0.5000
Pm1 0.0907 0.0907 0.7278
Pm2 0.9093 0.9093 0.2722


[6]
The following is a PBE-GGA calculation of a geometry-optimized Tb7PmTh3 structure, from Alexandria.

Calculated values
The calculation puts the formation energy at 4.9 kcal/mol of atoms. As for the space group: P3m1 (156). The calculation puts the energy relative to the lowest polymorph listed for this composition at 0.061 eV/atom.

a b c (Å): 8.5965 7.0961 7.0961
angles (deg): 120.00 90.00 90.00
Sites, in units of the cell vectors:
Tb1 0.1126 0.1678 0.8322
Tb2 0.1126 0.1678 0.3356
Tb3 0.1106 0.6667 0.3333
Tb4 0.4528 0.8318 0.1682
Tb5 0.4528 0.3365 0.1682
Tb6 0.4528 0.8318 0.6635
Tb7 0.1126 0.6644 0.8322
Pm1 0.4568 0.3333 0.6667
Th1 0.7839 0.5007 0.4993
Th2 0.7839 0.5007 0.0013
Th3 0.7839 0.9986 0.4993


[7]
The following is a PBE-GGA calculation of a geometry-optimized TbPm9Th2 structure, from Alexandria.

Calculated values
The calculation puts the formation energy at 1.0 kcal/mol of atoms. As for the space group: P4/mmm (123).

a b c (Å): 5.1270 5.1270 15.3953
angles (deg): 90.00 90.00 90.00
Sites, in units of the cell vectors:
Tb1 0.0000 0.0000 0.0000
Pm1 0.5000 0.5000 0.0000
Pm2 0.5000 0.5000 0.3331
Pm3 0.5000 0.5000 0.6669
Pm4 0.5000 0.0000 0.1685
Pm5 0.5000 0.0000 0.5000
Pm6 0.5000 0.0000 0.8315
Pm7 0.0000 0.5000 0.1685
Pm8 0.0000 0.5000 0.5000
Pm9 0.0000 0.5000 0.8315
Th1 0.0000 0.0000 0.3335
Th2 0.0000 0.0000 0.6665


[8]
The following is a PBE-GGA calculation of a geometry-optimized Tb14PmTh structure, from Alexandria.

Calculated values
The calculation puts the formation energy at 0.4 kcal/mol of atoms. As for the space group: P4/mmm (123).

a b c (Å): 7.1400 7.1400 10.0874
angles (deg): 90.00 90.00 90.01
Sites, in units of the cell vectors:
Tb1 0.3749 0.6251 0.5000
Tb2 0.8751 0.1249 0.5000
Tb3 0.8751 0.6251 0.0000
Tb4 0.8749 0.6249 0.5000
Tb5 0.3749 0.1249 0.0000
Tb6 0.3751 0.1251 0.5000
Tb7 0.6275 0.8775 0.7505
Tb8 0.6275 0.8775 0.2495
Tb9 0.1225 0.3725 0.7505
Tb10 0.1225 0.3725 0.2495
Tb11 0.1224 0.8776 0.7505
Tb12 0.1224 0.8776 0.2495
Tb13 0.6276 0.3724 0.7504
Tb14 0.6276 0.3724 0.2496
Pm1 0.3751 0.6249 0.0000
Th1 0.8749 0.1251 0.0000